Record 1
Here is crystalline Rb2PmTi2O6 at its relaxed geometry from Alexandria. Energies are from GGA-PBE.

POSCAR file:
```
Rb2PmTi2O6
1.0
3.154 1.821 6.353
-3.154 1.821 6.353
0.000 -3.642 6.353
Rb Pm Ti O
2 1 2 6
Cartesian
0.000 0.000 3.978
0.000 0.000 15.080
0.000 0.000 0.000
0.000 0.000 8.030
0.000 0.000 11.028
0.000 -1.776 7.799
-1.538 0.888 7.799
-1.538 -0.888 11.259
1.538 0.888 7.799
1.538 -0.888 11.259
0.000 1.776 11.259
```

Computed properties:
For the energy relative to the elements, uncorrected, the calculation gives -2587 meV/atom. The calculation puts the total energy at -7.335 eV/atom. The calculation puts the size of the total moment at 1.0 μB per cell.


Record 2
Here is crystalline Pm8NiGe3I4 at its relaxed geometry from Alexandria. Energies are from GGA-PBE.

POSCAR file:
```
Pm8NiGe3I4
1.0
4.312 2.490 7.610
-4.312 2.490 7.610
0.000 -4.979 7.610
Pm Ni Ge I
8 1 3 4
Cartesian
0.000 0.000 5.341
-2.061 -1.190 12.894
0.000 -2.380 9.937
-2.061 1.190 9.937
2.061 -1.190 12.894
0.000 2.380 12.894
2.061 1.190 9.937
0.000 0.000 17.490
0.000 0.000 11.416
-4.312 0.000 11.416
-2.156 1.245 3.805
2.156 1.245 3.805
0.000 0.000 0.000
-2.156 -1.245 7.610
-2.156 1.245 15.221
0.000 2.490 7.610
```

Computed properties:
For the energy relative to the elements, uncorrected, the calculation gives -904 meV/atom. The calculation puts the total energy at -4.894 eV/atom. The calculation puts the size of the total moment at 0.0 μB per cell.